Below is a geometry-optimized U3Cu5S12 structure, with properties calculated at the PBE-GGA level.

```
data_U3Cu5S12
_chemical_formula_sum 'U12 Cu20 S48'
_space_group_name_H-M_alt 'P 1'
_space_group_IT_number 1
_cell_length_a 12.5477
_cell_length_b 12.5477
_cell_length_c 12.5477
_cell_angle_alpha 109.47
_cell_angle_beta 109.47
_cell_angle_gamma 109.47
loop_
_space_group_symop_operation_xyz
'x,y,z'
loop_
_atom_site_label
_atom_site_type_symbol
_atom_site_fract_x
_atom_site_fract_y
_atom_site_fract_z
_atom_site_occupancy
U1 U 0.1250 0.2500 0.3750 1
U2 U 0.1250 0.3750 0.7500 1
U3 U 0.2500 0.3750 0.1250 1
U4 U 0.2500 0.8750 0.6250 1
U5 U 0.3750 0.1250 0.2500 1
U6 U 0.3750 0.7500 0.1250 1
U7 U 0.6250 0.2500 0.8750 1
U8 U 0.6250 0.8750 0.7500 1
U9 U 0.7500 0.1250 0.3750 1
U10 U 0.7500 0.6250 0.8750 1
U11 U 0.8750 0.6250 0.2500 1
U12 U 0.8750 0.7500 0.6250 1
Cu1 Cu 0.0000 0.0000 0.0000 1
Cu2 Cu 0.0000 0.0000 0.5000 1
Cu3 Cu 0.0000 0.5000 0.0000 1
Cu4 Cu 0.0000 0.5000 0.5000 1
Cu5 Cu 0.1250 0.7500 0.8750 1
Cu6 Cu 0.1250 0.8750 0.2500 1
Cu7 Cu 0.2500 0.1250 0.8750 1
Cu8 Cu 0.2500 0.6250 0.3750 1
Cu9 Cu 0.3750 0.2500 0.6250 1
Cu10 Cu 0.3750 0.6250 0.7500 1
Cu11 Cu 0.5000 0.0000 0.0000 1
Cu12 Cu 0.5000 0.0000 0.5000 1
Cu13 Cu 0.5000 0.5000 0.0000 1
Cu14 Cu 0.5000 0.5000 0.5000 1
Cu15 Cu 0.6250 0.3750 0.2500 1
Cu16 Cu 0.6250 0.7500 0.3750 1
Cu17 Cu 0.7500 0.3750 0.6250 1
Cu18 Cu 0.7500 0.8750 0.1250 1
Cu19 Cu 0.8750 0.1250 0.7500 1
Cu20 Cu 0.8750 0.2500 0.1250 1
S1 S 0.0400 0.2158 0.1267 1
S2 S 0.0400 0.3241 0.9133 1
S3 S 0.0867 0.6267 0.4109 1
S4 S 0.0867 0.9600 0.6759 1
S5 S 0.0891 0.7158 0.6759 1
S6 S 0.0891 0.8733 0.4133 1
S7 S 0.1267 0.0400 0.2158 1
S8 S 0.1267 0.5867 0.9109 1
S9 S 0.1759 0.2158 0.5891 1
S10 S 0.1759 0.4600 0.5867 1
S11 S 0.2158 0.1267 0.0400 1
S12 S 0.2158 0.5891 0.1759 1
S13 S 0.2842 0.3241 0.9109 1
S14 S 0.2842 0.4600 0.3733 1
S15 S 0.3241 0.9109 0.2842 1
S16 S 0.3241 0.9133 0.0400 1
S17 S 0.3733 0.2842 0.4600 1
S18 S 0.3733 0.5891 0.9133 1
S19 S 0.4109 0.0867 0.6267 1
S20 S 0.4109 0.8241 0.7842 1
S21 S 0.4133 0.0891 0.8733 1
S22 S 0.4133 0.8241 0.5400 1
S23 S 0.4600 0.3733 0.2842 1
S24 S 0.4600 0.5867 0.1759 1
S25 S 0.5400 0.4133 0.8241 1
S26 S 0.5400 0.6267 0.7158 1
S27 S 0.5867 0.1759 0.4600 1
S28 S 0.5867 0.9109 0.1267 1
S29 S 0.5891 0.1759 0.2158 1
S30 S 0.5891 0.9133 0.3733 1
S31 S 0.6267 0.4109 0.0867 1
S32 S 0.6267 0.7158 0.5400 1
S33 S 0.6759 0.0867 0.9600 1
S34 S 0.6759 0.0891 0.7158 1
S35 S 0.7158 0.5400 0.6267 1
S36 S 0.7158 0.6759 0.0891 1
S37 S 0.7842 0.4109 0.8241 1
S38 S 0.7842 0.8733 0.9600 1
S39 S 0.8241 0.5400 0.4133 1
S40 S 0.8241 0.7842 0.4109 1
S41 S 0.8733 0.4133 0.0891 1
S42 S 0.8733 0.9600 0.7842 1
S43 S 0.9109 0.1267 0.5867 1
S44 S 0.9109 0.2842 0.3241 1
S45 S 0.9133 0.0400 0.3241 1
S46 S 0.9133 0.3733 0.5891 1
S47 S 0.9600 0.6759 0.0867 1
S48 S 0.9600 0.7842 0.8733 1
```

Values from the calculation:
- Space group: No. 230



Below is a geometry-optimized NbCdAsSe2 structure, with properties calculated at the PBE-GGA level.

```
data_NbCdAsSe2
_chemical_formula_sum 'Nb1 Cd1 As1 Se2'
_space_group_name_H-M_alt 'P 1'
_space_group_IT_number 1
_cell_length_a 5.0975
_cell_length_b 5.0975
_cell_length_c 4.9885
_cell_angle_alpha 90.00
_cell_angle_beta 90.00
_cell_angle_gamma 90.00
loop_
_space_group_symop_operation_xyz
'x,y,z'
loop_
_atom_site_label
_atom_site_type_symbol
_atom_site_fract_x
_atom_site_fract_y
_atom_site_fract_z
_atom_site_occupancy
Nb1 Nb 0.0000 0.0000 0.0000 1
Cd1 Cd 0.5000 0.5000 0.5000 1
As1 As 0.5000 0.5000 0.0000 1
Se1 Se 0.0000 0.5000 0.5000 1
Se2 Se 0.5000 0.0000 0.5000 1
```

Values from the calculation:
- Space group: No. 123
- Energy above the most stable polymorph in this dataset: 1159 meV per atom



| no. | raw formation energy (eV/atom) |
| --- | --- |
| 1 | -0.721 |
| 2 | 1.134 |